Y2AlGa8 | PBE-GGA | relaxed

CIF file:
```
data_Y2AlGa8
_cell_length_a 4.411
_cell_length_b 4.411
_cell_length_c 11.204
_cell_angle_alpha 90.00
_cell_angle_beta 90.00
_cell_angle_gamma 90.00
_symmetry_space_group_name_H-M 'P 4/m m m'
_symmetry_Int_Tables_number 123
_symmetry_space_group_name_Hall '-P 4 2'
loop_
_atom_site_label
_atom_site_type_symbol
_atom_site_fract_x
_atom_site_fract_y
_atom_site_fract_z
Y1 Y 0.000 0.000 0.188
Al1 Al 0.000 0.000 0.500
Ga1 Ga 0.000 0.500 0.000
Ga2 Ga 0.000 0.500 0.372
Ga3 Ga 0.500 0.500 0.184
```

## Properties
Energy of formation from the pure elements (meV per atom): -352
Theoretical density (g/cm3): 5.8
DFT total energy (eV/atom): -4.0689
DOS at the Fermi energy (states/eV/cell): 3.78


In6AsPd12 | PBE-GGA | relaxed

CIF file:
```
data_In6AsPd12
_cell_length_a 11.1230
_cell_length_b 11.1230
_cell_length_c 10.4823
_cell_angle_alpha 90.00
_cell_angle_beta 90.00
_cell_angle_gamma 120.00
_symmetry_space_group_name_H-M 'R -3'
_symmetry_Int_Tables_number 148
_symmetry_space_group_name_Hall '-R 3'
loop_
_atom_site_label
_atom_site_type_symbol
_atom_site_fract_x
_atom_site_fract_y
_atom_site_fract_z
In1 In 0.0514 0.8559 0.1927
As1 As 0.0000 0.0000 0.5000
Pd1 Pd 0.0321 0.7943 0.4429
Pd2 Pd 0.0680 0.8095 0.9339
```

## Properties
Energy of formation from the pure elements (meV per atom): -262
Theoretical density (g/cm3): 9.1
DFT total energy (eV/atom): -4.6510
DOS at the Fermi energy (states/eV/cell): 23.71